# 1
Li10CoSi2O10 (PBEsol, relaxed); formation energy from raw total energies = -206.0 kJ/mol of atoms; calculated total energy = -6.108 eV/atom; M_tot = 6.00 μB per cell; volume = 452 Å³ per cell; crystal system = triclinic
1.0
5.076 0.001 0.016
0.001 6.101 0.001
-2.337 -3.048 14.572
Li Co Si O
20 2 4 20
Direct
0.767 0.510 0.019
0.386 0.362 0.143
0.386 0.782 0.144
0.284 0.136 0.273
0.750 0.346 0.266
0.750 0.920 0.266
0.439 0.672 0.347
0.110 0.442 0.393
0.111 0.951 0.393
0.827 0.732 0.463
0.182 0.271 0.543
0.898 0.052 0.613
0.898 0.561 0.613
0.569 0.331 0.659
0.259 0.083 0.740
0.259 0.657 0.740
0.725 0.867 0.734
0.623 0.642 0.863
0.623 0.221 0.863
0.241 0.494 0.987
0.624 0.037 0.074
0.385 0.967 0.932
0.007 0.602 0.204
0.635 0.221 0.441
0.373 0.782 0.565
0.002 0.401 0.802
0.102 0.552 0.103
0.556 0.095 0.190
0.680 0.600 0.200
0.133 0.414 0.261
0.133 0.847 0.261
0.726 0.421 0.391
0.727 0.970 0.391
0.309 0.214 0.428
0.229 0.728 0.457
0.779 0.275 0.549
0.700 0.789 0.578
0.282 0.582 0.615
0.282 0.033 0.615
0.876 0.156 0.745
0.876 0.589 0.745
0.329 0.403 0.806
0.453 0.908 0.816
0.907 0.452 0.903
0.504 0.250 0.003
0.504 0.753 0.003

=====

# 2
HgMoAu2 (PBEsol, relaxed); ΔH_f (0 K) = 0.4286 eV/atom; calculated total energy = -4.617 eV/atom; D(E_F) = 2.767 states/eV/f.u.; M_tot = 1.62 μB per cell; volume = 69 Å³ per cell; crystal system = tetragonal
1.0
4.246 0.000 0.000
0.000 4.246 0.000
-2.123 -2.123 3.843
Au Hg Mo
2 1 1
Direct
0.000 0.000 0.000
0.750 0.250 0.500
0.500 0.500 0.000
0.250 0.750 0.500

=====

# 3
TaTlCo2 (PBEsol, relaxed); ΔH_f (0 K) = 0.3178 eV/atom; energy relative to the lowest polymorph listed for this composition = 1.00 eV per formula unit; calculated total energy = -7.346 eV/atom; D(E_F) = 3.914 states/eV/f.u.; M_tot = 1.34 μB per cell; volume = 61 Å³ per cell; crystal system = monoclinic
1.0
-2.792 0.957 -0.395
1.460 -1.882 -3.666
-1.762 -4.068 2.594
Tl Co Ta
1 2 1
Direct
0.500 0.000 0.000
0.740 0.481 0.696
0.260 0.519 0.304
0.000 0.000 0.500

=====

# 4
Be2AlIr2 (PBEsol, relaxed); ΔH_f (0 K) = -0.6401 eV/atom; calculated total energy = -6.988 eV/atom; D(E_F) = 1.469 states/eV/f.u.; M_tot = 0.00 μB per cell; volume = 113 Å³ per cell; crystal system = tetragonal
1.0
-0.668 -2.677 0.462
5.705 -0.965 2.648
-2.374 1.575 5.689
Be Ir Al
4 4 2
Direct
0.000 0.381 0.881
0.000 0.881 0.619
0.000 0.619 0.119
0.000 0.119 0.381
0.500 0.176 0.676
0.500 0.676 0.824
0.500 0.824 0.324
0.500 0.324 0.176
0.000 0.000 0.000
0.000 0.500 0.500

=====

# 5
LiMgPb2 (PBEsol, relaxed); ΔH_f (0 K) = -0.1910 eV/atom; calculated total energy = -3.111 eV/atom; D(E_F) = 1.543 states/eV/f.u.; M_tot = 0.00 μB per cell; volume = 95 Å³ per cell; crystal system = monoclinic
1.0
3.346 0.000 -0.553
0.000 4.101 0.000
-2.094 0.000 7.246
Pb Mg Li
2 1 1
Direct
0.758 0.000 0.757
0.242 0.000 0.243
0.000 0.500 0.500
0.500 0.500 0.000

=====

# 6
CrFe2Ir (PBEsol, relaxed); ΔH_f (0 K) = 0.0070 eV/atom; calculated total energy = -9.491 eV/atom; D(E_F) = 4.983 states/eV/f.u.; M_tot = 0.33 μB per cell; volume = 46 Å³ per cell; crystal system = orthorhombic
1.0
-2.539 -0.349 0.038
0.556 -3.822 1.987
-0.382 3.102 3.016
Cr Fe Ir
1 2 1
Direct
0.500 0.500 0.500
0.000 0.500 0.000
0.000 0.000 0.500
0.500 0.000 0.000